Arrangement P

The following is a DFT calculation (GGA-PBE) of a relaxed BeNF2 crystal.

total magnetic moment	9.00	μB per cell
ρ	1.389	g cm⁻³
volume	218.78	Å³ per cell
crystal system	trigonal

Lattice parameters (Å, degrees): 3.3045 3.3045 23.1348 90.00 90.00 120.00
Atoms (fractional coordinates):
1 Be 0.0000 0.0000 0.0000
2 Be 0.3333 0.6667 0.6667
3 Be 0.6667 0.3333 0.3333
4 N 0.0000 0.0000 0.5000
5 N 0.3333 0.6667 0.1667
6 N 0.6667 0.3333 0.8333
7 F 0.0000 0.0000 0.0592
8 F 0.0000 0.0000 0.9408
9 F 0.3333 0.6667 0.6074
10 F 0.3333 0.6667 0.7259
11 F 0.6667 0.3333 0.2741
12 F 0.6667 0.3333 0.3926

***

Arrangement Q

The following is a DFT calculation (GGA-PBE) of a relaxed BeNF2 crystal.

total magnetic moment	6.00	μB per cell
ρ	2.085	g cm⁻³
volume	97.17	Å³ per cell
crystal system	cubic

Lattice parameters (Å, degrees): 5.1604 5.1604 5.1604 60.00 60.00 60.00
Atoms (fractional coordinates):
1 Be 0.1250 0.1250 0.1250
2 Be 0.8750 0.8750 0.8750
3 N 0.3750 0.3750 0.3750
4 N 0.6250 0.6250 0.6250
5 F 0.0000 0.0000 0.0000
6 F 0.0000 0.0000 0.5000
7 F 0.0000 0.5000 0.0000
8 F 0.5000 0.0000 0.0000

***

Most stable: arrangement Q. Least stable: arrangement P.

***

Arrangement P

The following is a DFT calculation (GGA-PBE) of a relaxed BeNF2 crystal.

total magnetic moment	3.85	μB per cell
ρ	2.318	g cm⁻³
volume	131.12	Å³ per cell
crystal system	trigonal

Lattice parameters (Å, degrees): 2.4962 2.4962 24.2995 90.00 90.00 120.00
Atoms (fractional coordinates):
1 Be 0.0000 0.0000 0.0000
2 Be 0.3333 0.6667 0.6667
3 Be 0.6667 0.3333 0.3333
4 N 0.0000 0.0000 0.5000
5 N 0.3333 0.6667 0.1667
6 N 0.6667 0.3333 0.8333
7 F 0.0000 0.0000 0.3716
8 F 0.0000 0.0000 0.6284
9 F 0.3333 0.6667 0.0382
10 F 0.3333 0.6667 0.2951
11 F 0.6667 0.3333 0.7049
12 F 0.6667 0.3333 0.9618

***

Arrangement Q

The following is a DFT calculation (GGA-PBE) of a relaxed BeNF2 crystal.

total magnetic moment	12.00	μB per cell
ρ	2.761	g cm⁻³
volume	146.80	Å³ per cell
crystal system	cubic

Lattice parameters (Å, degrees): 5.2752 5.2752 5.2752 90.00 90.00 90.00
Atoms (fractional coordinates):
1 Be 0.0000 0.0000 0.0000
2 Be 0.0000 0.5000 0.5000
3 Be 0.5000 0.0000 0.5000
4 Be 0.5000 0.5000 0.0000
5 N 0.0000 0.0000 0.5000
6 N 0.0000 0.5000 0.0000
7 N 0.5000 0.0000 0.0000
8 N 0.5000 0.5000 0.5000
9 F 0.2500 0.2500 0.2500
10 F 0.2500 0.2500 0.7500
11 F 0.2500 0.7500 0.2500
12 F 0.2500 0.7500 0.7500
13 F 0.7500 0.2500 0.2500
14 F 0.7500 0.2500 0.7500
15 F 0.7500 0.7500 0.2500
16 F 0.7500 0.7500 0.7500

***

Most stable: arrangement P. Least stable: arrangement Q.